Computed, not measured: ScOs2W after structural relaxation at the PBE level of DFT.

The space group is R3m (No. 160, hexagonal axes) and the conventional cell measures 2.8439, 2.8439 and 27.6649 Å, with angles of 90.00, 90.00 and 120.00 degrees. The distinct sites, in fractional coordinates, are Sc at (0.0000, 0.0000, 0.0000), Os at (0.0000, 0.0000, 0.4966), Os at (0.0000, 0.0000, 0.7529) and W at (0.0000, 0.0000, 0.2430).

Its final energy is -10.156 eV/atom. The calculated density is 15.66 g/cm3. Its energy of formation from the pure elements is 280 meV per atom. The value obtained for the spin magnetization is 0.0 μB/f.u.

Computed, not measured: ScOsW2 after structural relaxation at the PBE level of DFT.

The space group is I-42d (No. 122) and the conventional cell measures 7.524, 7.524 and 5.292 Å, with angles of 90.00, 90.00 and 90.00 degrees. The distinct sites, in fractional coordinates, are Sc at (0.000, 0.000, 0.000), Os at (0.000, 0.000, 0.500) and W at (0.206, 0.250, 0.625).

Its final energy is -10.234 eV/atom. The calculated density is 13.37 g/cm3. Its energy of formation from the pure elements is 633 meV per atom. The value obtained for the spin magnetization is 0.0 μB/f.u.

Computed, not measured: Sc2OsW after structural relaxation at the PBE level of DFT.

The space group is C2/m (No. 12) and the conventional cell measures 5.640, 9.022 and 2.900 Å, with angles of 90.00, 110.65 and 90.00 degrees. The distinct sites, in fractional coordinates, are Sc at (0.250, 0.250, 0.000), Os at (0.000, 0.000, 0.500) and W at (0.000, 0.500, 0.500).

Its final energy is -9.118 eV/atom. The calculated density is 11.16 g/cm3. Its energy of formation from the pure elements is 94 meV per atom. The value obtained for the spin magnetization is 0.0 μB/f.u.

Computed, not measured: Sc2OsW after structural relaxation at the PBE level of DFT.

The space group is Cmmm (No. 65) and the conventional cell measures 3.258, 4.739 and 9.003 Å, with angles of 90.00, 90.00 and 90.00 degrees. The distinct sites, in fractional coordinates, are Sc at (0.000, 0.000, 0.235), Os at (0.000, 0.500, 0.000) and W at (0.000, 0.500, 0.500).

Its final energy is -9.143 eV/atom. The calculated density is 11.08 g/cm3. Its energy of formation from the pure elements is 68 meV per atom. The value obtained for the spin magnetization is 0.0 μB/f.u.

Computed, not measured: ScOsW2 after structural relaxation at the PBE level of DFT.

The space group is F-43m (No. 216) and the conventional cell measures 6.372, 6.372 and 6.372 Å, with angles of 90.00, 90.00 and 90.00 degrees. The distinct sites, in fractional coordinates, are Sc at (0.000, 0.000, 0.000), Os at (0.250, 0.250, 0.750), W at (0.000, 0.000, 0.500) and W at (0.250, 0.250, 0.250).

Its final energy is -10.906 eV/atom. The calculated density is 15.47 g/cm3. Its energy of formation from the pure elements is -39 meV per atom. The value obtained for the spin magnetization is 0.0 μB/f.u.

Computed, not measured: ScOsW2 after structural relaxation at the PBE level of DFT.

The space group is Immm (No. 71) and the conventional cell measures 3.153, 4.457 and 9.327 Å, with angles of 90.00, 90.00 and 90.00 degrees. The distinct sites, in fractional coordinates, are Sc at (0.000, 0.000, 0.000), Os at (0.000, 0.000, 0.500) and W at (0.000, 0.500, 0.241).

Its final energy is -10.941 eV/atom. The calculated density is 15.28 g/cm3. Its energy of formation from the pure elements is -74 meV per atom. The value obtained for the spin magnetization is 0.0 μB/f.u.

Computed, not measured: Sc2OsW after structural relaxation at the PBE level of DFT.

The space group is I-4m2 (No. 119) and the conventional cell measures 4.594, 4.594 and 6.525 Å, with angles of 90.00, 90.00 and 90.00 degrees. The distinct sites, in fractional coordinates, are Sc at (0.000, 0.000, 0.000), Sc at (0.000, 0.500, 0.250), Os at (0.000, 0.000, 0.500) and W at (0.000, 0.500, 0.750).

Its final energy is -9.214 eV/atom. The calculated density is 11.19 g/cm3. Its energy of formation from the pure elements is -3 meV per atom. The value obtained for the spin magnetization is 0.0 μB/f.u.

Computed, not measured: Sc2OsW after structural relaxation at the PBE level of DFT.

The space group is Pmm2 (No. 25) and the conventional cell measures 2.999, 4.318 and 5.490 Å, with angles of 90.00, 90.00 and 90.00 degrees. The distinct sites, in fractional coordinates, are Sc at (0.000, 0.000, 0.000), Sc at (0.500, 0.500, 0.265), Os at (0.500, 0.500, 0.734) and W at (0.000, 0.000, 0.532).

Its final energy is -9.044 eV/atom. The calculated density is 10.84 g/cm3. Its energy of formation from the pure elements is 168 meV per atom. The value obtained for the spin magnetization is 0.0 μB/f.u.

Computed, not measured: ScOs2W after structural relaxation at the PBE level of DFT.

The space group is P4/mmm (No. 123) and the conventional cell measures 4.514, 4.514 and 3.100 Å, with angles of 90.00, 90.00 and 90.00 degrees. The distinct sites, in fractional coordinates, are Sc at (0.000, 0.000, 0.000), Os at (0.000, 0.500, 0.500) and W at (0.500, 0.500, 0.000).

Its final energy is -10.599 eV/atom. The calculated density is 16.02 g/cm3. Its energy of formation from the pure elements is -163 meV per atom. The value obtained for the spin magnetization is 0.0 μB/f.u.

Computed, not measured: Sc2OsW after structural relaxation at the PBE level of DFT.

The space group is P4/mmm (No. 123) and the conventional cell measures 3.119, 3.119 and 7.301 Å, with angles of 90.00, 90.00 and 90.00 degrees. The distinct sites, in fractional coordinates, are Sc at (0.000, 0.000, 0.222), Os at (0.500, 0.500, 0.000) and W at (0.500, 0.500, 0.500).

Its final energy is -9.132 eV/atom. The calculated density is 10.85 g/cm3. Its energy of formation from the pure elements is 79 meV per atom. The value obtained for the spin magnetization is 0.0 μB/f.u.

Computed, not measured: ScOs2W2 after structural relaxation at the PBE level of DFT.

The space group is P4/mbm (No. 127) and the conventional cell measures 7.688, 7.688 and 2.864 Å, with angles of 90.00, 90.00 and 90.00 degrees. The distinct sites, in fractional coordinates, are Sc at (0.000, 0.000, 0.000), Os at (0.146, 0.354, 0.500) and W at (0.148, 0.648, 0.000).

Its final energy is -10.844 eV/atom. The calculated density is 15.56 g/cm3. Its energy of formation from the pure elements is 95 meV per atom. The value obtained for the spin magnetization is 0.0 μB/f.u.

Computed, not measured: Sc2OsW after structural relaxation at the PBE level of DFT.

The space group is P4/mmm (No. 123) and the conventional cell measures 3.949, 3.949 and 4.527 Å, with angles of 90.00, 90.00 and 90.00 degrees. The distinct sites, in fractional coordinates, are Sc at (0.000, 0.500, 0.000), Os at (0.000, 0.000, 0.500) and W at (0.500, 0.500, 0.500).

Its final energy is -9.043 eV/atom. The calculated density is 10.92 g/cm3. Its energy of formation from the pure elements is 169 meV per atom. The value obtained for the spin magnetization is 0.0 μB/f.u.